[1]
DFT (GGA-PBE) results for a relaxed Y3TiFe crystal.

Computed properties:
The calculated volume comes out at 142.8 Å³/cell. As for the formation energy: 1228 meV/atom. The value obtained for the total magnetic moment is 0.45 μB/f.u. Its energy above the lowest structure with this stoichiometry is 400.0 kJ/mol of formula units.

```
data_Y3TiFe
_chemical_formula_sum 'Y3 Ti1 Fe1'
_symmetry_space_group_name_H-M 'P 1'
_symmetry_Int_Tables_number 1
_symmetry_space_group_name_Hall 'P 1'
_cell_length_a 5.2264
_cell_length_b 5.2264
_cell_length_c 5.2264
_cell_angle_alpha 90.00
_cell_angle_beta 90.00
_cell_angle_gamma 90.00
loop_
_atom_site_label
_atom_site_fract_x
_atom_site_fract_y
_atom_site_fract_z
Y1 0.0000 0.5000 0.0000
Y2 0.5000 0.0000 0.0000
Y3 0.0000 0.0000 0.5000
Fe1 0.5000 0.5000 0.5000
Ti1 0.0000 0.0000 0.0000
```

[2]
DFT (GGA-PBE) results for a relaxed YTi2Fe crystal.

Computed properties:
The calculated volume comes out at 68.5 Å³/cell. As for the formation energy: 341 meV/atom. The value obtained for the total magnetic moment is 0.00 μB/f.u. Its energy above the lowest structure with this stoichiometry is 0.0 kJ/mol of formula units.

```
data_YTi2Fe
_chemical_formula_sum 'Y1 Ti2 Fe1'
_symmetry_space_group_name_H-M 'P 1'
_symmetry_Int_Tables_number 1
_symmetry_space_group_name_Hall 'P 1'
_cell_length_a 4.5923
_cell_length_b 4.5923
_cell_length_c 4.5923
_cell_angle_alpha 60.00
_cell_angle_beta 60.00
_cell_angle_gamma 60.00
loop_
_atom_site_label
_atom_site_fract_x
_atom_site_fract_y
_atom_site_fract_z
Y1 0.5000 0.5000 0.5000
Ti1 0.7500 0.7500 0.7500
Ti2 0.2500 0.2500 0.2500
Fe1 0.0000 0.0000 0.0000
```

[3]
DFT (GGA-PBE) results for a relaxed Y2Ti2Fe crystal.

Computed properties:
The calculated volume comes out at 224.0 Å³/cell. As for the formation energy: 684 meV/atom. The value obtained for the total magnetic moment is 0.16 μB/f.u. Its energy above the lowest structure with this stoichiometry is 269.4 kJ/mol of formula units.

```
data_Y2Ti2Fe
_chemical_formula_sum 'Y4 Ti4 Fe2'
_symmetry_space_group_name_H-M 'P 1'
_symmetry_Int_Tables_number 1
_symmetry_space_group_name_Hall 'P 1'
_cell_length_a 6.7688
_cell_length_b 6.7688
_cell_length_c 4.8881
_cell_angle_alpha 90.00
_cell_angle_beta 90.00
_cell_angle_gamma 90.00
loop_
_atom_site_label
_atom_site_fract_x
_atom_site_fract_y
_atom_site_fract_z
Ti1 0.1485 0.6485 0.5000
Ti2 0.6485 0.8515 0.5000
Ti3 0.8515 0.3515 0.5000
Ti4 0.3515 0.1485 0.5000
Fe1 0.0000 0.0000 0.0000
Fe2 0.5000 0.5000 0.0000
Y1 0.3400 0.8400 0.0000
Y2 0.8400 0.6600 0.0000
Y3 0.6600 0.1600 0.0000
Y4 0.1600 0.3400 0.0000
```

[4]
DFT (GGA-PBE) results for a relaxed Y3TiFe crystal.

Computed properties:
The calculated volume comes out at 138.2 Å³/cell. As for the formation energy: 398 meV/atom. The value obtained for the total magnetic moment is 2.50 μB/f.u. Its energy above the lowest structure with this stoichiometry is 0.0 kJ/mol of formula units.

```
data_Y3TiFe
_chemical_formula_sum 'Y3 Ti1 Fe1'
_symmetry_space_group_name_H-M 'P 1'
_symmetry_Int_Tables_number 1
_symmetry_space_group_name_Hall 'P 1'
_cell_length_a 5.1696
_cell_length_b 5.1696
_cell_length_c 5.1696
_cell_angle_alpha 90.00
_cell_angle_beta 90.00
_cell_angle_gamma 90.00
loop_
_atom_site_label
_atom_site_fract_x
_atom_site_fract_y
_atom_site_fract_z
Ti1 0.5000 0.5000 0.5000
Fe1 0.0000 0.0000 0.0000
Y1 0.5000 0.0000 0.0000
Y2 0.0000 0.5000 0.0000
Y3 0.0000 0.0000 0.5000
```

[5]
DFT (GGA-PBE) results for a relaxed YTi2Fe2 crystal.

Computed properties:
The calculated volume comes out at 162.1 Å³/cell. As for the formation energy: 12 meV/atom. The value obtained for the total magnetic moment is 0.00 μB/f.u. Its energy above the lowest structure with this stoichiometry is 66.0 kJ/mol of formula units.

```
data_YTi2Fe2
_chemical_formula_sum 'Y2 Ti4 Fe4'
_symmetry_space_group_name_H-M 'P 1'
_symmetry_Int_Tables_number 1
_symmetry_space_group_name_Hall 'P 1'
_cell_length_a 7.3518
_cell_length_b 7.3518
_cell_length_c 2.9996
_cell_angle_alpha 90.00
_cell_angle_beta 90.00
_cell_angle_gamma 90.00
loop_
_atom_site_label
_atom_site_fract_x
_atom_site_fract_y
_atom_site_fract_z
Fe1 0.6401 0.1401 0.0000
Fe2 0.3599 0.8599 0.0000
Fe3 0.1401 0.3599 0.0000
Fe4 0.8599 0.6401 0.0000
Ti1 0.8601 0.3601 0.5000
Ti2 0.1399 0.6399 0.5000
Ti3 0.3601 0.1399 0.5000
Ti4 0.6399 0.8601 0.5000
Y1 0.5000 0.5000 0.0000
Y2 0.0000 0.0000 0.0000
```

[6]
DFT (GGA-PBE) results for a relaxed YTi2Fe2 crystal.

Computed properties:
The calculated volume comes out at 88.2 Å³/cell. As for the formation energy: 88 meV/atom. The value obtained for the total magnetic moment is 1.18 μB/f.u. Its energy above the lowest structure with this stoichiometry is 102.3 kJ/mol of formula units.

```
data_YTi2Fe2
_chemical_formula_sum 'Y1 Ti2 Fe2'
_symmetry_space_group_name_H-M 'P 1'
_symmetry_Int_Tables_number 1
_symmetry_space_group_name_Hall 'P 1'
_cell_length_a 4.2690
_cell_length_b 4.2690
_cell_length_c 5.7026
_cell_angle_alpha 68.02
_cell_angle_beta 68.02
_cell_angle_gamma 90.00
loop_
_atom_site_label
_atom_site_fract_x
_atom_site_fract_y
_atom_site_fract_z
Y1 0.0000 0.0000 0.0000
Ti1 0.3517 0.3517 0.2966
Ti2 0.6483 0.6483 0.7034
Fe1 0.7500 0.2500 0.5000
Fe2 0.2500 0.7500 0.5000
```

[7]
DFT (GGA-PBE) results for a relaxed YTi2Fe2 crystal.

Computed properties:
The calculated volume comes out at 161.4 Å³/cell. As for the formation energy: 70 meV/atom. The value obtained for the total magnetic moment is 0.90 μB/f.u. Its energy above the lowest structure with this stoichiometry is 93.7 kJ/mol of formula units.

```
data_YTi2Fe2
_chemical_formula_sum 'Y2 Ti4 Fe4'
_symmetry_space_group_name_H-M 'P 1'
_symmetry_Int_Tables_number 1
_symmetry_space_group_name_Hall 'P 1'
_cell_length_a 7.4930
_cell_length_b 7.4930
_cell_length_c 2.8744
_cell_angle_alpha 90.00
_cell_angle_beta 90.00
_cell_angle_gamma 90.00
loop_
_atom_site_label
_atom_site_fract_x
_atom_site_fract_y
_atom_site_fract_z
Y1 0.5000 0.5000 0.0000
Y2 0.0000 0.0000 0.0000
Fe1 0.1438 0.6438 0.5000
Fe2 0.8562 0.3562 0.5000
Fe3 0.3562 0.1438 0.5000
Fe4 0.6438 0.8562 0.5000
Ti1 0.6350 0.1350 0.0000
Ti2 0.8650 0.6350 0.0000
Ti3 0.3650 0.8650 0.0000
Ti4 0.1350 0.3650 0.0000
```

[8]
DFT (GGA-PBE) results for a relaxed Y2Ti2Fe crystal.

Computed properties:
The calculated volume comes out at 111.3 Å³/cell. As for the formation energy: 460 meV/atom. The value obtained for the total magnetic moment is 0.00 μB/f.u. Its energy above the lowest structure with this stoichiometry is 161.4 kJ/mol of formula units.

```
data_Y2Ti2Fe
_chemical_formula_sum 'Y2 Ti2 Fe1'
_symmetry_space_group_name_H-M 'P 1'
_symmetry_Int_Tables_number 1
_symmetry_space_group_name_Hall 'P 1'
_cell_length_a 3.4538
_cell_length_b 3.4538
_cell_length_c 9.6488
_cell_angle_alpha 79.69
_cell_angle_beta 79.69
_cell_angle_gamma 90.00
loop_
_atom_site_label
_atom_site_fract_x
_atom_site_fract_y
_atom_site_fract_z
Y1 0.4141 0.4141 0.1718
Y2 0.5859 0.5859 0.8282
Ti1 0.2500 0.7500 0.5000
Ti2 0.7500 0.2500 0.5000
Fe1 0.0000 0.0000 0.0000
```